Nd3MoO6 after structural relaxation, computed with PBE with a Hubbard U.

a = 5.782 Å, b = 7.401 Å, c = 7.401 Å
α = 101.46°, β = 90.00°, γ = 90.00°
Site moments in Bohr magnetons follow the coordinates.
Fractional coordinates of all 20 atoms:
O 0.663 0.898 0.395  0.03
Nd 0.920 0.604 0.396  0.01
O 0.663 0.605 0.102  0.03
Nd 0.971 0.089 0.325  0.02
Nd 0.971 0.675 0.911  0.02
O 0.695 0.328 0.354  0.01
O 0.276 0.012 0.988  -0.01
O 0.652 0.221 0.779  0.02
O 0.195 0.354 0.328  0.01
O 0.152 0.779 0.221  0.02
O 0.776 0.988 0.012  -0.01
O 0.695 0.646 0.672  0.01
Mo 0.980 0.142 0.858  2.61
Nd 0.471 0.911 0.675  0.02
O 0.163 0.395 0.898  0.03
Nd 0.420 0.396 0.604  0.01
O 0.195 0.672 0.646  0.01
Nd 0.471 0.325 0.089  0.02
O 0.163 0.102 0.605  0.03
Mo 0.480 0.858 0.142  2.61

Output
Its total energy is -7.9749 eV/atom. The calculation puts the density of states at the Fermi level at 0.00 states/eV per cell.

Nd3MoO6 after structural relaxation, computed with PBE with a Hubbard U.

a = 6.871 Å, b = 6.871 Å, c = 6.871 Å
α = 92.63°, β = 92.63°, γ = 92.63°
Site moments in Bohr magnetons follow the coordinates.
Fractional coordinates of all 20 atoms:
Nd 0.438 0.930 0.745  0.01
O 0.591 0.803 0.462  0.02
O 0.934 0.696 0.085  0.02
Nd 0.070 0.255 0.562  0.01
O 0.803 0.462 0.591  0.02
O 0.304 0.915 0.066  0.02
O 0.409 0.197 0.538  0.02
O 0.197 0.538 0.409  0.02
Mo 0.000 0.000 0.000  2.73
Nd 0.562 0.070 0.255  0.01
O 0.915 0.066 0.304  0.02
O 0.085 0.934 0.696  0.02
Nd 0.930 0.745 0.438  0.01
O 0.066 0.304 0.915  0.02
Nd 0.745 0.438 0.930  0.01
Mo 0.500 0.500 0.500  2.66
Nd 0.255 0.562 0.070  0.01
O 0.462 0.591 0.803  0.02
O 0.696 0.085 0.934  0.02
O 0.538 0.409 0.197  0.02

Output
Its total energy is -8.0709 eV/atom. The calculation puts the density of states at the Fermi level at 0.00 states/eV per cell.

Nd5Mo2O12 after structural relaxation, computed with PBE with a Hubbard U.

a = 5.911 Å, b = 7.061 Å, c = 7.868 Å
α = 106.28°, β = 90.00°, γ = 114.74°
Site moments in Bohr magnetons follow the coordinates.
Fractional coordinates of all 19 atoms:
Nd 0.314 0.628 0.174  0.01
Nd 0.692 0.384 0.358  0.00
Nd 0.000 0.000 0.500  0.00
O 0.501 0.001 0.173  0.00
O 0.908 0.319 0.079  0.00
O 0.999 0.998 0.800  0.02
O 0.096 0.688 0.422  0.00
O 0.001 0.002 0.200  0.02
O 0.589 0.681 0.921  0.00
O 0.092 0.681 0.921  0.00
O 0.904 0.312 0.578  0.00
Mo 0.783 0.000 0.000  0.43
O 0.411 0.319 0.079  0.00
O 0.408 0.312 0.578  0.00
O 0.499 0.999 0.827  0.00
Mo 0.217 0.000 0.000  0.43
Nd 0.308 0.616 0.642  0.00
O 0.592 0.688 0.422  0.00
Nd 0.686 0.372 0.826  0.01

Output
Its total energy is -7.9802 eV/atom.